No. 1
## Y2BPb (PBE)

Data for a relaxed structure of Y2BPb.

Results
Energy of formation from the pure elements   45 meV/atom
V   401 Å³/cell
Total magnetic moment   0.00 μB/f.u.

Geometry as CIF:
```
data_Y2BPb
_cell_length_a 7.613
_cell_length_b 7.613
_cell_length_c 6.915
_cell_angle_alpha 90.00
_cell_angle_beta 90.00
_cell_angle_gamma 90.00
_space_group_name_H-M_alt 'I -4 2 d'
_space_group_IT_number 122
_space_group_name_Hall 'I -4 2bw'
loop_
_atom_site_label
_atom_site_fract_x
_atom_site_fract_y
_atom_site_fract_z
Y1 0.183 0.250 0.125
B1 0.000 0.000 0.000
Pb1 0.000 0.000 0.500
```

---

No. 2
## Be2SnW (PBE)

Data for a relaxed structure of Be2SnW.

Results
Energy of formation from the pure elements   813 meV/atom
V   240 Å³/cell
Total magnetic moment   0.00 μB/f.u.

Geometry as CIF:
```
data_Be2SnW
_cell_length_a 6.674
_cell_length_b 6.674
_cell_length_c 5.378
_cell_angle_alpha 90.00
_cell_angle_beta 90.00
_cell_angle_gamma 90.00
_space_group_name_H-M_alt 'I -4 2 d'
_space_group_IT_number 122
_space_group_name_Hall 'I -4 2bw'
loop_
_atom_site_label
_atom_site_fract_x
_atom_site_fract_y
_atom_site_fract_z
Be1 0.238 0.750 0.125
Sn1 0.000 0.000 0.500
W1 0.000 0.000 0.000
```